Entry P
Material: Cs3RbIn
Method: DFT, GGA-PBE
State: optimized geometry

Lattice parameters (Å, degrees): 8.3024 8.3024 8.3024 90.00 90.00 90.00
Last column: nearest neighbours and their distance in Å.
Positions (direct):
Cs 0.0000 0.0000 0.5000  2 Rb 4.15
Cs 0.0000 0.5000 0.0000  2 Rb 4.15
Cs 0.5000 0.0000 0.0000  2 Rb 4.15
Rb 0.0000 0.0000 0.0000  6 Cs 4.15
In 0.5000 0.5000 0.5000  12 Cs 5.87

SG: Pm-3m (221)
Crystal system: cubic

Entry Q
Material: Cs3RbIn
Method: DFT, GGA-PBE
State: optimized geometry

Lattice parameters (Å, degrees): 7.6975 7.6975 7.6975 90.00 90.00 90.00
Last column: nearest neighbours and their distance in Å.
Positions (direct):
Cs 0.0000 0.0000 0.5000  2 In 3.85
Cs 0.0000 0.5000 0.0000  2 In 3.85
Cs 0.5000 0.0000 0.0000  2 In 3.85
Rb 0.5000 0.5000 0.5000  12 Cs 5.44
In 0.0000 0.0000 0.0000  6 Cs 3.85

SG: Pm-3m (221)
Crystal system: cubic

Most favorable structure: entry Q. The second most favorable one is 375 meV per atom above it.